Crystalline YTl2Fe at its relaxed geometry, computed with PBE.

a b c (Å): 4.944 4.944 4.944
angles (deg): 60.00 60.00 60.00
Atoms (fractional coordinates):
Y 0.500 0.500 0.500
Tl 0.250 0.250 0.250
Tl 0.750 0.750 0.750
Fe 0.000 0.000 0.000

Distance to the lowest polymorph of the same formula in meV per atom: 172
VASP energy in eV/atom: -4.604
DFT formation energy in eV/atom: 0.31


Crystalline YTlFe3 at its relaxed geometry, computed with PBE.

a b c (Å): 4.827 4.827 4.827
angles (deg): 90.00 90.00 90.00
Last column: magnetic moment on the atom in μB.
Atoms (fractional coordinates):
Y 0.000 0.000 0.000  -0.46
Tl 0.500 0.500 0.500  0.01
Fe 0.000 0.500 0.000  2.46
Fe 0.000 0.000 0.500  2.47
Fe 0.500 0.000 0.000  2.55

Distance to the lowest polymorph of the same formula in meV per atom: 451
VASP energy in eV/atom: -5.218
DFT formation energy in eV/atom: 1.63


Crystalline YTl2Fe at its relaxed geometry, computed with PBE.

a b c (Å): 3.483 3.483 7.947
angles (deg): 90.00 90.00 90.00
Last column: magnetic moment on the atom in μB.
Atoms (fractional coordinates):
Fe 0.500 0.500 0.759  2.53
Tl 0.000 0.000 0.949  -0.02
Tl 0.500 0.500 0.244  0.00
Y 0.000 0.000 0.548  -0.23

Distance to the lowest polymorph of the same formula in meV per atom: 49
VASP energy in eV/atom: -4.727
DFT formation energy in eV/atom: 0.19


Crystalline YTl2Fe at its relaxed geometry, computed with PBE.

a b c (Å): 3.563 3.563 7.088
angles (deg): 90.00 90.00 89.99
Last column: magnetic moment on the atom in μB.
Atoms (fractional coordinates):
Fe 0.500 0.500 0.750  2.55
Tl 0.000 0.000 0.964  -0.04
Tl 0.000 0.000 0.536  -0.04
Y 0.500 0.500 0.250  0.08

Distance to the lowest polymorph of the same formula in meV per atom: 44
VASP energy in eV/atom: -4.733
DFT formation energy in eV/atom: 0.18


Look up the DFT formation energy of the second one. 1.63 eV/atom